1.
# PBE Mg2ZrCl, optimized geometry
# Density of states at the Fermi level ... 3.2 states/eV/f.u.
# ΔE_f (raw) ... -0.46 eV/atom
# Magnetization ... 0.00 μB per cell
# Total DFT energy (no corrections) ... -46.29 eV/cell
# E above lowest polymorph ... 0 meV/atom
data_Mg2ZrCl
_chemical_formula_sum 'Mg6 Zr3 Cl3'
_cell_length_a 3.2974
_cell_length_b 3.2974
_cell_length_c 27.4130
_cell_angle_alpha 90.00
_cell_angle_beta 90.00
_cell_angle_gamma 120.00
_space_group_name_H-M_alt 'R -3 m'
_space_group_IT_number 166
_space_group_name_Hall '-R 3 2"'
loop_
_atom_site_label
_atom_site_fract_x
_atom_site_fract_y
_atom_site_fract_z
Mg1 0.0000 0.0000 0.2416
Zr1 0.0000 0.0000 0.0000
Cl1 0.0000 0.0000 0.5000


2.
# PBE Mg2ZrCl, optimized geometry
# Density of states at the Fermi level ... 4.4 states/eV/f.u.
# ΔE_f (raw) ... -0.38 eV/atom
# Magnetization ... 0.38 μB per cell
# Total DFT energy (no corrections) ... -15.10 eV/cell
# E above lowest polymorph ... 83 meV/atom
data_Mg2ZrCl
_chemical_formula_sum 'Mg2 Zr1 Cl1'
_cell_length_a 3.1916
_cell_length_b 3.1916
_cell_length_c 8.5836
_cell_angle_alpha 90.00
_cell_angle_beta 90.00
_cell_angle_gamma 90.00
_space_group_name_H-M_alt 'P 4/m m m'
_space_group_IT_number 123
_space_group_name_Hall '-P 4 2'
loop_
_atom_site_label
_atom_site_fract_x
_atom_site_fract_y
_atom_site_fract_z
Mg1 0.0000 0.0000 0.2392
Zr1 0.5000 0.5000 0.5000
Cl1 0.5000 0.5000 0.0000